Material: Hf3Zn9Cu2
Method: DFT, PBE-GGA
State: optimized geometry

Its total energy is -51.7 eV/cell. The calculation puts the size of the total moment at 0.00 μB per cell. As for the space group: Immm. For the energy of formation from the pure elements, the calculation gives -0.157 eV per atom.

Unit cell a=4.207 b=7.625 c=7.625 alpha=72.92 beta=73.99 gamma=73.99
Fractional positions:
Hf1 0.000 0.000 0.000
Hf2 0.713 0.287 0.287
Hf3 0.287 0.713 0.713
Zn1 0.000 0.500 0.500
Zn2 0.640 0.995 0.725
Zn3 0.360 0.005 0.275
Zn4 0.640 0.725 0.995
Zn5 0.360 0.275 0.005
Zn6 0.857 0.863 0.423
Zn7 0.143 0.137 0.577
Zn8 0.857 0.423 0.863
Zn9 0.143 0.577 0.137
Cu1 0.500 0.347 0.653
Cu2 0.500 0.653 0.347

***

Material: Hf3Zn3Cu2
Method: DFT, PBE-GGA
State: optimized geometry

Its total energy is -43.0 eV/cell. The calculation puts the size of the total moment at 0.00 μB per cell. As for the space group: P-62m. For the energy of formation from the pure elements, the calculation gives -0.135 eV per atom.

Unit cell a=3.548 b=6.668 c=6.668 alpha=120.00 beta=90.00 gamma=90.00
Fractional positions:
Hf1 0.500 0.401 0.401
Hf2 0.500 0.599 0.000
Hf3 0.500 0.000 0.599
Zn1 0.000 0.765 0.765
Zn2 0.000 0.235 0.000
Zn3 0.000 0.000 0.235
Cu1 0.000 0.333 0.667
Cu2 0.000 0.667 0.333

***

Material: HfZn3Cu
Method: DFT, PBE-GGA
State: optimized geometry

Its total energy is -16.3 eV/cell. The calculation puts the size of the total moment at 0.00 μB per cell. As for the space group: Pm-3m. For the energy of formation from the pure elements, the calculation gives 0.310 eV per atom.

Unit cell a=4.445 b=4.445 c=4.445 alpha=90.00 beta=90.00 gamma=90.00
Fractional positions:
Zn1 0.000 0.500 0.000
Zn2 0.000 0.000 0.500
Zn3 0.500 0.000 0.000
Hf1 0.500 0.500 0.500
Cu1 0.000 0.000 0.000